1.
## LiThH4 (GGA-PBE)

Data for a relaxed LiThH4 crystal.

Lattice parameters (Å, degrees): 3.6645 3.6646 5.1687 89.94 89.97 90.00
With the nearest neighbours (Å) after each atom.
Positions (direct):
H: 0.0011 0.4969 0.2649  2 Li 2.19-2.20, 2 Th 2.29, 1 H 2.41
H: 0.5015 0.9977 0.7313  2 Li 2.19, 2 Th 2.29, 1 H 2.41
H: 0.5011 0.9969 0.2649  2 Li 2.19-2.20, 2 Th 2.29, 1 H 2.41
H: 0.0015 0.4978 0.7313  2 Li 2.19-2.20, 2 Th 2.29, 1 H 2.41
Li: 0.0014 0.9971 0.4983  8 H 2.19-2.20
Th: 0.5013 0.4974 0.9981  8 H 2.29

Properties
DFT total energy, eV/atom: -4.132

=====

2.
## Ag2BiTeSe2 (GGA-PBE)

Data for a relaxed Ag2BiTeSe2 crystal.

Lattice parameters (Å, degrees): 5.6285 6.9320 8.3990 93.66 90.00 90.00
With the nearest neighbours (Å) after each atom.
Positions (direct):
Se: 0.0029 0.2402 0.1511  2 Se 2.78-2.85, 2 Bi 2.87-2.90, 1 Ag 2.93
Se: 0.4971 0.2402 0.1511  2 Se 2.78-2.85, 2 Bi 2.87-2.90, 1 Ag 2.93
Se: 0.9971 0.7598 0.8489  2 Se 2.78-2.85, 2 Bi 2.87-2.90, 1 Ag 2.93
Se: 0.5029 0.7598 0.8489  2 Se 2.78-2.85, 2 Bi 2.87-2.90, 1 Ag 2.93
Bi: 0.2500 0.1198 0.8581  4 Se 2.87-2.90, 1 Ag 3.21
Bi: 0.7500 0.8802 0.1419  4 Se 2.87-2.90, 1 Ag 3.21
Ag: 0.7500 0.5208 0.3652  3 Te 2.83-3.13, 1 Ag 2.85, 2 Se 2.93
Ag: 0.2500 0.4792 0.6348  3 Te 2.83-3.13, 1 Ag 2.85, 2 Se 2.93
Ag: 0.7500 0.8903 0.5359  1 Te 2.77, 1 Ag 2.85
Ag: 0.2500 0.1097 0.4641  1 Te 2.77, 1 Ag 2.85
Te: 0.2500 0.7179 0.3733  2 Ag 2.77-2.83
Te: 0.7500 0.2821 0.6267  2 Ag 2.77-2.83

Properties
Formation energy without anion corrections, eV/atom: 0.01

=====

3.
## Be2TcRh (GGA-PBE)

Data for a relaxed Be2TcRh crystal.

Lattice parameters (Å, degrees): 3.9865 3.9865 3.9865 120.03 120.03 89.95
With the nearest neighbours (Å) after each atom.
Positions (direct):
Be: 0.5000 0.5000 0.0000  4 Rh 2.44, 4 Tc 2.44
Be: 0.0000 0.0000 0.0000  4 Tc 2.44, 4 Rh 2.44
Tc: 0.7500 0.2500 0.5000  8 Be 2.44
Rh: 0.2500 0.7500 0.5000  8 Be 2.44

Properties
Calculated formation energy, eV per formula unit: -0.80

=====

4.
## Li4SnPb (GGA-PBE)

Data for a relaxed Li4SnPb crystal.

Lattice parameters (Å, degrees): 4.9456 6.2405 8.2134 90.00 96.88 90.00
With the nearest neighbours (Å) after each atom.
Positions (direct):
Li: 0.2761 0.9975 0.6041  3 Sn 2.91-3.18, 5 Li 2.96-3.15, 3 Pb 2.98-3.23
Li: 0.0000 0.5000 0.0000  4 Li 2.80-3.12, 2 Pb 2.84, 2 Sn 2.88
Li: 0.5569 0.2500 0.0688  1 Sn 2.79, 4 Li 2.80-3.12, 1 Pb 3.10
Li: 0.2761 0.5025 0.6041  3 Sn 2.91-3.18, 5 Li 2.96-3.15, 3 Pb 2.98-3.23
Li: 0.7239 0.4975 0.3959  3 Sn 2.91-3.18, 5 Li 2.96-3.15, 3 Pb 2.98-3.23
Li: 0.0000 0.0000 0.0000  4 Li 2.80-3.12, 2 Pb 2.84, 2 Sn 2.88
Li: 0.4431 0.7500 0.9312  1 Sn 2.79, 4 Li 2.80-3.12, 1 Pb 3.10
Li: 0.7239 0.0025 0.3959  3 Sn 2.91-3.18, 5 Li 2.96-3.15, 3 Pb 2.98-3.23
Sn: 0.8319 0.7500 0.7107  7 Li 2.79-3.02
Sn: 0.1681 0.2500 0.2893  7 Li 2.79-3.02
Pb: 0.2308 0.7500 0.2713  7 Li 2.84-3.12, 2 Sn 3.14
Pb: 0.7692 0.2500 0.7287  7 Li 2.84-3.12, 2 Sn 3.14

Properties
Calculated formation energy, eV per formula unit: -1.68

=====

5.
## Dy6Y3Tm2Pu (GGA-PBE)

Data for a relaxed Dy6Y3Tm2Pu crystal.

Lattice parameters (Å, degrees): 6.1127 6.1127 11.6628 95.01 95.01 120.00
With the nearest neighbours (Å) after each atom.
Positions (direct):
Dy: 0.5881 0.9180 0.7538  1 Pu 3.47, 2 Tm 3.49, 6 Dy 3.49-3.55, 3 Y 3.55-3.57
Dy: 0.2479 0.2479 0.7538  1 Pu 3.47, 2 Tm 3.49, 6 Dy 3.49-3.55, 3 Y 3.55-3.57
Dy: 0.7521 0.7521 0.2462  1 Pu 3.47, 2 Tm 3.49, 6 Dy 3.49-3.55, 3 Y 3.55-3.57
Dy: 0.9180 0.5881 0.7538  1 Pu 3.47, 2 Tm 3.49, 6 Dy 3.49-3.55, 3 Y 3.55-3.57
Dy: 0.0820 0.4119 0.2462  1 Pu 3.47, 2 Tm 3.49, 6 Dy 3.49-3.55, 3 Y 3.55-3.57
Dy: 0.4119 0.0820 0.2462  1 Pu 3.47, 2 Tm 3.49, 6 Dy 3.49-3.55, 3 Y 3.55-3.57
Tm: 0.6666 0.3334 0.0000  6 Dy 3.49, 3 Tm 3.53, 3 Pu 3.53
Tm: 0.3334 0.6666 0.0000  6 Dy 3.49, 3 Tm 3.53, 3 Pu 3.53
Y: 0.5000 0.5000 0.5000  6 Y 3.52-3.53, 6 Dy 3.55-3.57
Y: 0.1673 0.8327 0.5000  6 Y 3.52-3.54, 6 Dy 3.55-3.57
Y: 0.8327 0.1673 0.5000  6 Y 3.52-3.54, 6 Dy 3.55-3.57
Pu: 0.0000 0.0000 0.0000  6 Dy 3.47, 6 Tm 3.53

Properties
Calculated formation energy, eV per formula unit: 0.54

=====

6.
## LaInPCl2 (GGA-PBE)

Data for a relaxed LaInPCl2 crystal.

Lattice parameters (Å, degrees): 5.5376 5.5376 5.7292 90.00 90.00 90.00
With the nearest neighbours (Å) after each atom.
Positions (direct):
P: 0.0000 0.0000 0.5000  2 La 2.86
La: 0.0000 0.0000 0.0000  4 Cl 2.77, 2 P 2.86
In: 0.5000 0.5000 0.5000  4 P 3.92, 8 Cl 3.98
Cl: 0.0000 0.5000 0.0000  2 La 2.77
Cl: 0.5000 0.0000 0.0000  2 La 2.77

Properties
Formation energy without anion corrections, eV/atom: -0.98

=====

7.
## Re3C2 (GGA-PBE)

Data for a relaxed Re3C2 crystal.

Lattice parameters (Å, degrees): 7.7434 6.3722 5.2280 83.12 54.79 42.09
With the nearest neighbours (Å) after each atom.
Positions (direct):
C: 0.3440 0.9922 0.8108  6 Re 2.12-2.18
C: 0.4392 0.3970 0.9060  6 Re 2.12-2.18
C: 0.2578 0.9060 0.3970  6 Re 2.12-2.18
C: 0.8530 0.8108 0.9922  6 Re 2.12-2.18
Re: 0.3487 0.1513 0.1513  4 C 2.17-2.18
Re: 0.0244 0.8085 0.4872  4 C 2.12-2.17
Re: 0.4415 0.2256 0.5701  4 C 2.12-2.17
Re: 0.6799 0.4872 0.8085  4 C 2.12-2.17
Re: 0.0987 0.9013 0.9013  4 C 2.17-2.18
Re: 0.7628 0.5701 0.2256  4 C 2.12-2.17

Properties
Calculated formation energy, eV per formula unit: 1.62